Entry 1:
VASP calculation (SCAN) on a PBEsol-optimized structure of CrFeSi.

POSCAR file:
```
CrFeSi
1.0
-1.333 1.333 4.472
1.333 -1.333 4.472
1.333 1.333 -4.472
Cr Fe Si
1 1 1
direct
0.000 0.000 0.000
0.328 0.328 0.000
0.675 0.675 0.000
```

Summary:
ΔE_f (raw): -0.17 eV/atom
raw total energy: -15.675 eV per atom
V: 31.8 Å³ per cell
magnetization: 0.00 μB/f.u.

Entry 2:
VASP calculation (SCAN) on a PBEsol-optimized structure of CrFeSi.

POSCAR file:
```
CrFeSi
1.0
3.852 0.000 0.000
-1.926 3.336 0.000
0.000 0.000 2.554
Cr Fe Si
1 1 1
direct
0.000 0.000 0.000
0.667 0.333 0.429
0.333 0.667 0.538
```

Summary:
ΔE_f (raw): -0.11 eV/atom
raw total energy: -15.615 eV per atom
V: 32.8 Å³ per cell
magnetization: 0.32 μB/f.u.

Entry 3:
VASP calculation (SCAN) on a PBEsol-optimized structure of CrFe6Si.

POSCAR file:
```
CrFe6Si
1.0
3.462 -4.926 0.000
3.462 4.926 0.000
0.000 0.000 9.860
Cr Fe Si
4 24 4
direct
0.000 0.000 0.249
0.000 0.000 0.751
0.244 0.756 0.000
0.756 0.244 0.000
0.000 0.000 0.000
0.000 0.000 0.500
0.123 0.374 0.123
0.123 0.374 0.877
0.127 0.376 0.374
0.127 0.376 0.626
0.248 0.752 0.248
0.248 0.752 0.752
0.374 0.123 0.123
0.374 0.123 0.877
0.376 0.127 0.374
0.376 0.127 0.626
0.500 0.500 0.000
0.500 0.500 0.500
0.624 0.873 0.374
0.624 0.873 0.626
0.626 0.877 0.123
0.626 0.877 0.877
0.752 0.248 0.248
0.752 0.248 0.752
0.873 0.624 0.374
0.873 0.624 0.626
0.877 0.626 0.123
0.877 0.626 0.877
0.245 0.755 0.500
0.500 0.500 0.245
0.500 0.500 0.755
0.755 0.245 0.500
```

Summary:
ΔE_f (raw): -0.10 eV/atom
raw total energy: -17.247 eV per atom
V: 336.3 Å³ per cell
magnetization: 10.18 μB/f.u.

Entry 4:
VASP calculation (SCAN) on a PBEsol-optimized structure of CrFeSi2.

POSCAR file:
```
CrFeSi2
1.0
-1.765 1.765 8.187
1.765 -1.765 8.187
1.765 1.765 -8.187
Cr Fe Si
2 2 4
direct
0.000 0.000 0.000
0.750 0.250 0.500
0.250 0.750 0.500
0.500 0.500 0.000
0.126 0.625 0.001
0.375 0.376 0.501
0.624 0.125 0.999
0.875 0.874 0.499
```

Summary:
ΔE_f (raw): 0.25 eV/atom
raw total energy: -13.883 eV per atom
V: 102.0 Å³ per cell
magnetization: 3.08 μB/f.u.

Entry 5:
VASP calculation (SCAN) on a PBEsol-optimized structure of CrFe3Si.

POSCAR file:
```
CrFe3Si
1.0
4.127 0.000 0.000
0.000 4.127 0.000
0.000 0.000 4.127
Cr Fe Si
1 3 1
direct
0.000 0.000 0.000
0.000 0.500 0.500
0.500 0.000 0.500
0.500 0.500 0.000
0.500 0.500 0.500
```

Summary:
ΔE_f (raw): 0.83 eV/atom
raw total energy: -15.728 eV per atom
V: 70.3 Å³ per cell
magnetization: 10.75 μB/f.u.

Entry 6:
VASP calculation (SCAN) on a PBEsol-optimized structure of CrFeSi2.

POSCAR file:
```
CrFeSi2
1.0
4.233 -1.330 0.000
4.233 1.330 0.000
-1.245 0.000 3.916
Cr Fe Si
1 1 2
direct
0.000 0.000 0.000
0.747 0.747 0.363
0.251 0.251 0.857
0.489 0.489 0.499
```

Summary:
ΔE_f (raw): -0.18 eV/atom
raw total energy: -14.312 eV per atom
V: 44.1 Å³ per cell
magnetization: 0.00 μB/f.u.

Entry 7:
VASP calculation (SCAN) on a PBEsol-optimized structure of Cr2FeSi.

POSCAR file:
```
Cr2FeSi
1.0
-1.428 1.879 3.984
1.428 -1.879 3.984
1.428 1.879 -3.984
Cr Fe Si
2 1 1
direct
0.250 0.250 0.000
0.750 0.750 0.000
0.500 0.000 0.500
0.000 0.500 0.500
```

Summary:
ΔE_f (raw): -0.21 eV/atom
raw total energy: -16.435 eV per atom
V: 42.8 Å³ per cell
magnetization: 0.00 μB/f.u.

Entry 8:
VASP calculation (SCAN) on a PBEsol-optimized structure of CrFeSi2.

POSCAR file:
```
CrFeSi2
1.0
4.487 0.000 0.000
0.000 4.451 0.000
-0.069 0.000 4.490
Cr Fe Si
2 2 4
direct
0.130 0.000 0.105
0.870 0.500 0.895
0.358 0.724 0.613
0.642 0.224 0.387
0.164 0.210 0.590
0.356 0.518 0.099
0.644 0.018 0.901
0.836 0.710 0.410
```

Summary:
ΔE_f (raw): -0.33 eV/atom
raw total energy: -14.462 eV per atom
V: 89.7 Å³ per cell
magnetization: 1.76 μB/f.u.

Entry 9:
VASP calculation (SCAN) on a PBEsol-optimized structure of Cr2FeSi.

POSCAR file:
```
Cr2FeSi
1.0
2.248 -1.257 0.000
2.248 1.257 0.000
-1.054 0.000 7.839
Cr Fe Si
2 1 1
direct
0.000 0.000 0.000
0.175 0.175 0.740
0.447 0.447 0.499
0.724 0.724 0.259
```

Summary:
ΔE_f (raw): 0.19 eV/atom
raw total energy: -16.035 eV per atom
V: 44.3 Å³ per cell
magnetization: 0.00 μB/f.u.

Entry 10:
VASP calculation (SCAN) on a PBEsol-optimized structure of SrCrFe2.

POSCAR file:
```
SrCrFe2
1.0
2.951 0.000 0.000
0.000 2.951 0.000
0.000 0.000 7.144
Sr Cr Fe
1 1 2
direct
0.000 0.000 0.000
0.000 0.000 0.500
0.500 0.500 0.335
0.500 0.500 0.665
```

Summary:
relative energy among the computed polymorphs: 0 kJ/mol of formula units
ΔH_f (0 K): 0.6396 eV/atom
raw total energy: -18.590 eV per atom
V: 62.2 Å³ per cell
magnetization: 2.73 μB/f.u.

Entry 11:
VASP calculation (SCAN) on a PBEsol-optimized structure of SrCrFe.

POSCAR file:
```
SrCrFe
1.0
0.000 3.372 3.372
3.372 0.000 3.372
3.372 3.372 0.000
Sr Cr Fe
1 1 1
direct
0.000 0.000 0.000
0.250 0.250 0.250
0.500 0.500 0.500
```

Summary:
ΔH_f (0 K): 1.1750 eV/atom
raw total energy: -18.421 eV per atom
V: 76.7 Å³ per cell
magnetization: 7.44 μB/f.u.

Entry 12:
VASP calculation (SCAN) on a PBEsol-optimized structure of SrCrFe2.

POSCAR file:
```
SrCrFe2
1.0
0.000 3.188 3.188
3.188 0.000 3.188
3.188 3.188 0.000
Sr Cr Fe
1 1 2
direct
0.000 0.000 0.000
0.250 0.250 0.250
0.500 0.500 0.500
0.750 0.750 0.750
```

Summary:
relative energy among the computed polymorphs: 94 kJ/mol of formula units
ΔH_f (0 K): 0.8828 eV/atom
raw total energy: -18.347 eV per atom
V: 64.8 Å³ per cell
magnetization: 1.60 μB/f.u.

Entry 13:
VASP calculation (SCAN) on a PBEsol-optimized structure of CrFeTc2.

POSCAR file:
```
CrFeTc2
1.0
-1.851 1.851 3.622
1.851 -1.851 3.622
1.851 1.851 -3.622
Cr Fe Tc
1 1 2
direct
0.000 0.000 0.000
0.500 0.500 0.000
0.250 0.750 0.500
0.750 0.250 0.500
```

Summary:
ΔH_f (0 K): 0.1374 eV/atom
raw total energy: -26.521 eV per atom
V: 49.6 Å³ per cell
magnetization: 2.05 μB/f.u.

Entry 14:
VASP calculation (SCAN) on a PBEsol-optimized structure of CrFeTc2.

POSCAR file:
```
CrFeTc2
1.0
1.315 0.759 8.415
-1.315 0.759 8.415
0.000 -1.518 8.415
Cr Fe Tc
1 1 2
direct
0.000 0.000 0.000
0.500 0.500 0.500
0.250 0.250 0.250
0.750 0.750 0.750
```

Summary:
ΔH_f (0 K): 0.2148 eV/atom
raw total energy: -26.444 eV per atom
V: 50.4 Å³ per cell
magnetization: 2.62 μB/f.u.

Entry 15:
VASP calculation (SCAN) on a PBEsol-optimized structure of CrFeTc2.

POSCAR file:
```
CrFeTc2
1.0
4.299 -1.306 0.000
4.299 1.306 0.000
-0.800 0.000 4.394
Cr Fe Tc
1 1 2
direct
0.000 0.000 0.000
0.265 0.265 0.759
0.520 0.520 0.530
0.758 0.758 0.249
```

Summary:
ΔH_f (0 K): 0.1688 eV/atom
raw total energy: -26.490 eV per atom
V: 49.4 Å³ per cell
magnetization: 0.56 μB/f.u.

Entry 16:
VASP calculation (SCAN) on a PBEsol-optimized structure of CrFeTc.

POSCAR file:
```
CrFeTc
1.0
4.109 0.000 0.000
-2.054 3.558 0.000
0.000 0.000 2.490
Cr Fe Tc
1 1 1
direct
0.000 0.000 0.000
0.333 0.667 0.319
0.667 0.333 0.692
```

Summary:
ΔH_f (0 K): 0.0365 eV/atom
raw total energy: -23.822 eV per atom
V: 36.4 Å³ per cell
magnetization: 2.88 μB/f.u.

Entry 17:
VASP calculation (SCAN) on a PBEsol-optimized structure of CrFeTc2.

POSCAR file:
```
CrFeTc2
1.0
-1.840 1.840 3.680
1.840 -1.840 3.680
1.840 1.840 -3.680
Cr Fe Tc
1 1 2
direct
0.000 0.000 0.000
0.750 0.250 0.500
0.250 0.750 0.500
0.500 0.500 0.000
```

Summary:
ΔH_f (0 K): 0.0975 eV/atom
raw total energy: -26.561 eV per atom
V: 49.9 Å³ per cell
magnetization: 0.31 μB/f.u.

Entry 18:
VASP calculation (SCAN) on a PBEsol-optimized structure of CrFe2TcTe.

POSCAR file:
```
CrFe2TcTe
1.0
4.551 0.000 0.000
0.000 4.551 0.000
0.000 0.000 4.840
Cr Fe Tc Te
1 2 1 1
direct
0.000 0.000 0.000
0.000 0.500 0.500
0.500 0.000 0.500
0.500 0.500 0.000
0.500 0.500 0.500
```

Summary:
ΔE_f (raw): 1.45 eV/atom
raw total energy: -23.942 eV per atom
V: 100.3 Å³ per cell
magnetization: 8.25 μB/f.u.

Entry 19:
VASP calculation (SCAN) on a PBEsol-optimized structure of CrFe2Te.

POSCAR file:
```
CrFe2Te
1.0
4.045 -1.502 0.000
4.045 1.502 0.000
-0.836 0.000 4.374
Cr Fe Te
1 2 1
direct
0.000 0.000 0.000
0.256 0.256 0.780
0.744 0.744 0.220
0.500 0.500 0.500
```

Summary:
ΔE_f (raw): 0.45 eV/atom
raw total energy: -22.525 eV per atom
V: 53.1 Å³ per cell
magnetization: 5.92 μB/f.u.

Entry 20:
VASP calculation (SCAN) on a PBEsol-optimized structure of CrFeTe2.

POSCAR file:
```
CrFeTe2
1.0
4.647 0.000 0.000
0.000 4.647 0.000
0.000 0.000 3.277
Cr Fe Te
1 1 2
direct
0.000 0.000 0.000
0.500 0.500 0.000
0.000 0.500 0.500
0.500 0.000 0.500
```

Summary:
ΔE_f (raw): 0.32 eV/atom
raw total energy: -27.438 eV per atom
V: 70.8 Å³ per cell
magnetization: 5.94 μB/f.u.